Entry 1:
Crystalline Hg2HF at its relaxed geometry, computed with PBEsol.

Cell lengths 4.346, 4.346, 4.346 Å; angles 60.00, 60.00, 60.00 degrees
Fractional positions:
1 H 0.000 0.000 0.000
2 Hg 0.250 0.250 0.250
3 Hg 0.750 0.750 0.750
4 F 0.500 0.500 0.500

Properties
Space-group type: No. 225

=====

Entry 2:
Crystalline HgHN2F at its relaxed geometry, computed with PBEsol.

Cell lengths 3.223, 3.223, 4.579 Å; angles 90.00, 90.00, 90.00 degrees
Fractional positions:
1 H 0.000 0.000 0.000
2 N 0.000 0.500 0.000
3 N 0.500 0.000 0.000
4 Hg 0.500 0.500 0.500
5 F 0.000 0.000 0.500

Properties
Space-group type: No. 123

=====

Entry 3:
Crystalline HgHO2F at its relaxed geometry, computed with PBEsol.

Cell lengths 3.226, 3.226, 4.458 Å; angles 90.00, 90.00, 90.00 degrees
Fractional positions:
1 H 0.000 0.000 0.000
2 Hg 0.500 0.500 0.500
3 O 0.000 0.500 0.000
4 O 0.500 0.000 0.000
5 F 0.000 0.000 0.500

Properties
Space-group type: No. 123

=====

Entry 4:
Crystalline HgTeHO3F at its relaxed geometry, computed with PBEsol.

Cell lengths 5.915, 7.824, 8.604 Å; angles 90.00, 90.00, 90.00 degrees
Fractional positions:
1 F 0.647 0.730 0.988
2 F 0.147 0.270 0.012
3 F 0.647 0.270 0.488
4 F 0.147 0.730 0.512
5 H 0.921 0.185 0.081
6 H 0.421 0.815 0.919
7 H 0.921 0.815 0.581
8 H 0.421 0.185 0.419
9 Hg 0.796 0.428 0.854
10 Hg 0.296 0.572 0.146
11 Hg 0.796 0.572 0.354
12 Hg 0.296 0.428 0.646
13 O 0.042 0.611 0.847
14 O 0.542 0.389 0.153
15 O 0.042 0.389 0.347
16 O 0.542 0.611 0.653
17 O 0.561 0.764 0.359
18 O 0.061 0.236 0.641
19 O 0.561 0.236 0.859
20 O 0.061 0.764 0.141
21 O 0.800 0.893 0.624
22 O 0.300 0.107 0.376
23 O 0.800 0.107 0.124
24 O 0.300 0.893 0.876
25 Te 0.980 0.833 0.934
26 Te 0.480 0.167 0.066
27 Te 0.980 0.167 0.434
28 Te 0.480 0.833 0.566

Properties
Space-group type: No. 29

=====

| no. | VASP energy (eV per atom) |
| --- | --- |
| 1 | -1.609 |
| 2 | -3.246 |
| 3 | -3.066 |
| 4 | -4.623 |